Density functional theory data (PBE) for crystalline Ac8Ir3Cl4F at its relaxed geometry.

* SG: R-3m, No. 166
* calculated total energy: -91.406 eV/cell
* ΔE_f (raw): -1419 meV/atom

a = 8.625 Å, b = 9.456 Å, c = 8.629 Å
α = 117.11°, β = 119.98°, γ = 90.00°
Sites, in units of the cell vectors:
Ac 0.733 0.700 0.466
Ac 0.267 0.300 0.534
Ac 0.275 0.296 0.036
Ac 0.240 0.705 0.480
Ac 0.240 0.704 0.964
Ac 0.760 0.296 0.036
Ac 0.725 0.704 0.964
Ac 0.760 0.295 0.520
Ir 0.500 0.500 0.000
Ir 0.500 0.500 0.500
Ir 0.000 0.500 0.500
Cl 0.500 0.000 0.000
Cl 0.500 0.000 0.500
Cl 0.000 0.000 0.000
Cl 0.000 0.000 0.500
F 0.000 0.500 0.000

=====

Density functional theory data (PBE) for crystalline Ac2ClO2F2 at its relaxed geometry.

* SG: P-3m1, No. 164
* calculated total energy: -44.993 eV/cell
* ΔE_f (raw): -3039 meV/atom

a = 4.344 Å, b = 4.344 Å, c = 8.686 Å
α = 90.00°, β = 90.00°, γ = 120.00°
Sites, in units of the cell vectors:
Ac 0.667 0.333 0.311
Ac 0.333 0.667 0.689
F 0.000 0.000 0.670
F 0.000 0.000 0.330
O 0.667 0.333 0.592
O 0.333 0.667 0.408
Cl 0.000 0.000 0.000

=====

Density functional theory data (PBE) for crystalline AcPaCl2F6 at its relaxed geometry.

* SG: Fm-3m, No. 225
* calculated total energy: -61.919 eV/cell
* ΔE_f (raw): -3339 meV/atom

a = 6.534 Å, b = 6.535 Å, c = 6.537 Å
α = 59.99°, β = 59.98°, γ = 90.00°
Sites, in units of the cell vectors:
F 0.269 0.269 0.461
F 0.731 0.731 0.000
F 0.731 0.731 0.539
F 0.269 0.269 0.000
F 0.269 0.731 0.000
F 0.731 0.269 0.000
Ac 0.000 0.000 0.000
Cl 0.250 0.750 0.500
Cl 0.750 0.250 0.500
Pa 0.500 0.500 0.000

=====

Density functional theory data (PBE) for crystalline RbAc2ClF8 at its relaxed geometry.

* SG: P-1, No. 2
* calculated total energy: -65.463 eV/cell
* ΔE_f (raw): -3288 meV/atom

a = 4.547 Å, b = 7.025 Å, c = 7.995 Å
α = 108.15°, β = 84.92°, γ = 86.37°
Sites, in units of the cell vectors:
F 0.885 0.830 0.789
F 0.115 0.170 0.211
F 0.471 0.709 0.522
F 0.529 0.291 0.478
F 0.974 0.426 0.728
F 0.530 0.699 0.086
F 0.470 0.301 0.914
F 0.026 0.574 0.272
Rb 0.000 0.000 0.500
Cl 0.000 0.000 0.000
Ac 0.454 0.563 0.772
Ac 0.546 0.437 0.228